Entry 1:
PaOsRu after structural relaxation, computed with GGA-PBE.

Summary:
- Energy relative to the lowest polymorph listed for this composition: 293 meV per atom

POSCAR file:
```
PaOsRu
1.0
-1.493 3.399 0.173
-3.942 -1.726 -0.083
1.975 0.675 3.764
Ru Os Pa
1 1 1
direct
0.167 0.667 0.333 Ru
0.167 0.000 0.000 Os
0.667 0.333 0.667 Pa
```

---

Entry 2:
PaOs2Ru after structural relaxation, computed with GGA-PBE.

POSCAR file:
```
PaOs2Ru
1.0
4.126 0.000 0.000
0.000 4.035 0.000
0.000 0.000 4.035
Ru Os Pa
1 2 1
direct
0.500 0.000 0.000 Ru
0.000 0.000 0.500 Os
0.000 0.500 0.000 Os
0.500 0.500 0.500 Pa
```

---

Number 1: E_form 0.0057 eV per atom. Number 2: E_form -0.2145 eV per atom.